{
  "formula": "AcHoPb6",
  "functional": "PBE",
  "state": "optimized geometry",
  "dos_ef_per_ev_cell": 4.28,
  "ef_ev_per_atom": -0.34,
  "lattice_angstrom": [[4.9952, 0.0000, 0.0000], [0.0000, 4.9952, 0.0000], [0.0000, 0.0000, 9.8446]],
  "species": ["Ac", "Ho", "Pb", "Pb", "Pb", "Pb", "Pb", "Pb"],
  "fractional_positions": [[0.0000, 0.0000, 0.0000], [0.0000, 0.0000, 0.5000], [0.0000, 0.5000, 0.2622], [0.0000, 0.5000, 0.7378], [0.5000, 0.0000, 0.2622], [0.5000, 0.0000, 0.7378], [0.5000, 0.5000, 0.0000], [0.5000, 0.5000, 0.5000]]
}